Below is AcTmInCu after structural relaxation, with properties calculated at the PBE level.

Values from the calculation:
Its total DFT energy (no corrections) is -4.049 eV/atom. Its density of states at the Fermi level is 0.8042 states/eV per atom.

abc: 5.3942 5.3942 5.3942
angles: 60.00 60.00 60.00
Closest atoms and distances in Å follow each position.
Positions (direct):
1 Ac 0.0000 0.0000 0.0000  4 In 3.30, 4 Cu 3.30
2 Tm 0.5000 0.5000 0.5000  4 In 3.30, 4 Cu 3.30
3 In 0.2500 0.2500 0.2500  4 Ac 3.30, 4 Tm 3.30
4 Cu 0.7500 0.7500 0.7500  4 Ac 3.30, 4 Tm 3.30